1.
A relaxed ZrIrN2 crystal. Source: Alexandria, functional GGA-PBE.

CIF file:
```
data_ZrIrN2
_cell_length_a 6.448
_cell_length_b 6.448
_cell_length_c 6.448
_cell_angle_alpha 140.41
_cell_angle_beta 140.41
_cell_angle_gamma 57.23
_symmetry_space_group_name_H-M 'P 1'
_symmetry_Int_Tables_number 1
loop_
_symmetry_equiv_pos_as_xyz
'x,y,z'
loop_
_atom_site_label
_atom_site_type_symbol
_atom_site_fract_x
_atom_site_fract_y
_atom_site_fract_z
_atom_site_occupancy
Zr1 Zr 0.000 0.000 0.000 1
Zr2 Zr 0.750 0.250 0.500 1
Ir1 Ir 0.250 0.750 0.500 1
Ir2 Ir 0.500 0.500 0.000 1
N1 N 0.149 0.625 0.024 1
N2 N 0.375 0.399 0.524 1
N3 N 0.601 0.125 0.976 1
N4 N 0.875 0.851 0.476 1
```

Summary:
**Total energy**: -0.325 Ha/atom
**M_tot**: 0.00 μB per formula unit
**ΔE_f (raw)**: -0.325 eV/atom
**Offset from the most stable computed form**: 213.2 meV per atom

---

2.
A relaxed ZrIrN2 crystal. Source: Alexandria, functional GGA-PBE.

CIF file:
```
data_ZrIrN2
_cell_length_a 4.164
_cell_length_b 6.830
_cell_length_c 3.301
_cell_angle_alpha 90.00
_cell_angle_beta 90.00
_cell_angle_gamma 90.00
_symmetry_space_group_name_H-M 'P 1'
_symmetry_Int_Tables_number 1
loop_
_symmetry_equiv_pos_as_xyz
'x,y,z'
loop_
_atom_site_label
_atom_site_type_symbol
_atom_site_fract_x
_atom_site_fract_y
_atom_site_fract_z
_atom_site_occupancy
Zr1 Zr 0.000 0.247 0.000 1
Zr2 Zr 0.000 0.753 0.000 1
Ir1 Ir 0.500 0.000 0.316 1
Ir2 Ir 0.500 0.500 0.681 1
N1 N 0.000 0.000 0.489 1
N2 N 0.000 0.500 0.527 1
N3 N 0.500 0.303 0.216 1
N4 N 0.500 0.697 0.216 1
```

Summary:
**Total energy**: -0.330 Ha/atom
**M_tot**: 0.00 μB per formula unit
**ΔE_f (raw)**: -0.467 eV/atom
**Offset from the most stable computed form**: 71.8 meV per atom

---

3.
A relaxed ZrIrN2 crystal. Source: Alexandria, functional GGA-PBE.

CIF file:
```
data_ZrIrN2
_cell_length_a 5.624
_cell_length_b 5.624
_cell_length_c 7.583
_cell_angle_alpha 128.93
_cell_angle_beta 128.93
_cell_angle_gamma 32.41
_symmetry_space_group_name_H-M 'P 1'
_symmetry_Int_Tables_number 1
loop_
_symmetry_equiv_pos_as_xyz
'x,y,z'
loop_
_atom_site_label
_atom_site_type_symbol
_atom_site_fract_x
_atom_site_fract_y
_atom_site_fract_z
_atom_site_occupancy
Zr1 Zr 0.000 0.000 0.000 1
Zr2 Zr 0.053 0.053 0.632 1
Ir1 Ir 0.713 0.713 0.407 1
Ir2 Ir 0.820 0.820 0.135 1
N1 N 0.082 0.082 0.373 1
N2 N 0.321 0.321 0.950 1
N3 N 0.359 0.359 0.382 1
N4 N 0.559 0.559 0.857 1
```

Summary:
**Total energy**: -0.329 Ha/atom
**M_tot**: 0.00 μB per formula unit
**ΔE_f (raw)**: -0.442 eV/atom
**Offset from the most stable computed form**: 96.9 meV per atom

---

4.
A relaxed ZrIrN2 crystal. Source: Alexandria, functional GGA-PBE.

CIF file:
```
data_ZrIrN2
_cell_length_a 5.572
_cell_length_b 5.572
_cell_length_c 5.975
_cell_angle_alpha 106.36
_cell_angle_beta 106.36
_cell_angle_gamma 31.72
_symmetry_space_group_name_H-M 'P 1'
_symmetry_Int_Tables_number 1
loop_
_symmetry_equiv_pos_as_xyz
'x,y,z'
loop_
_atom_site_label
_atom_site_type_symbol
_atom_site_fract_x
_atom_site_fract_y
_atom_site_fract_z
_atom_site_occupancy
Zr1 Zr 0.000 0.000 0.000 1
Zr2 Zr 0.168 0.168 0.589 1
Ir1 Ir 0.411 0.411 0.466 1
Ir2 Ir 0.767 0.767 0.117 1
N1 N 0.321 0.321 0.946 1
N2 N 0.568 0.568 0.307 1
N3 N 0.592 0.592 0.810 1
N4 N 0.845 0.845 0.627 1
```

Summary:
**Total energy**: -0.330 Ha/atom
**M_tot**: 0.00 μB per formula unit
**ΔE_f (raw)**: -0.471 eV/atom
**Offset from the most stable computed form**: 67.4 meV per atom

---

5.
A relaxed ZrIr3N crystal. Source: Alexandria, functional GGA-PBE.

CIF file:
```
data_ZrIr3N
_cell_length_a 4.167
_cell_length_b 4.167
_cell_length_c 4.167
_cell_angle_alpha 90.00
_cell_angle_beta 90.00
_cell_angle_gamma 90.00
_symmetry_space_group_name_H-M 'P 1'
_symmetry_Int_Tables_number 1
loop_
_symmetry_equiv_pos_as_xyz
'x,y,z'
loop_
_atom_site_label
_atom_site_type_symbol
_atom_site_fract_x
_atom_site_fract_y
_atom_site_fract_z
_atom_site_occupancy
Zr1 Zr 0.000 0.000 0.000 1
Ir1 Ir 0.000 0.500 0.500 1
Ir2 Ir 0.500 0.000 0.500 1
Ir3 Ir 0.500 0.500 0.000 1
N1 N 0.500 0.500 0.500 1
```

Summary:
**Total energy**: -0.317 Ha/atom
**M_tot**: 0.00 μB per formula unit
**ΔE_f (raw)**: 0.074 eV/atom
**Offset from the most stable computed form**: 0.0 meV per atom

---

6.
A relaxed Zr3IrN crystal. Source: Alexandria, functional GGA-PBE.

CIF file:
```
data_Zr3IrN
_cell_length_a 4.425
_cell_length_b 4.425
_cell_length_c 4.425
_cell_angle_alpha 90.00
_cell_angle_beta 90.00
_cell_angle_gamma 90.00
_symmetry_space_group_name_H-M 'P 1'
_symmetry_Int_Tables_number 1
loop_
_symmetry_equiv_pos_as_xyz
'x,y,z'
loop_
_atom_site_label
_atom_site_type_symbol
_atom_site_fract_x
_atom_site_fract_y
_atom_site_fract_z
_atom_site_occupancy
Zr1 Zr 0.000 0.000 0.500 1
Zr2 Zr 0.000 0.500 0.000 1
Zr3 Zr 0.500 0.000 0.000 1
Ir1 Ir 0.500 0.500 0.500 1
N1 N 0.000 0.000 0.000 1
```

Summary:
**Total energy**: -0.349 Ha/atom
**M_tot**: 0.00 μB per formula unit
**ΔE_f (raw)**: -0.937 eV/atom